1.
The following is a DFT calculation (PBE) of a relaxed DyScCuPb crystal.

Summary:
DFT total energy   -4.954 eV/atom
Total magnetization   2.49 μB per cell
ΔH_f (0 K)   -0.270 eV/atom
V   22.92 A^3/atom
Density   8.66 g/cm3
DOS(E_F)   3.790 states/eV/f.u.

Unit cell a=7.1579 b=7.1579 c=7.1579 alpha=90.00 beta=90.00 gamma=90.00
Space group F-43m (No. 216)
Symmetry-distinct sites (fractional):
Dy 0.0000 0.0000 0.0000 (multiplicity 4)
Sc 0.0000 0.0000 0.5000 (multiplicity 4)
Cu 0.2500 0.2500 0.2500 (multiplicity 4)
Pb 0.2500 0.2500 0.7500 (multiplicity 4)

=====

2.
The following is a DFT calculation (PBE) of a relaxed Dy2CuPbSe4 crystal.

Summary:
DFT total energy   -5.053 eV/atom
Total magnetization   0.00 μB per cell
Formation energy from raw total energies   -1.18 eV per atom
V   24.88 A^3/atom
Density   7.61 g/cm3
DOS(E_F)   3.147 states/eV/f.u.

Unit cell a=4.0436 b=13.6491 c=14.4233 alpha=90.00 beta=90.00 gamma=90.00
Space group Cmcm (No. 63)
Symmetry-distinct sites (fractional):
Dy 0.0000 0.1307 0.0653 (multiplicity 8)
Cu 0.0000 0.3404 0.7500 (multiplicity 4)
Pb 0.0000 0.3729 0.2500 (multiplicity 4)
Se 0.0000 0.0522 0.2500 (multiplicity 4)
Se 0.0000 0.2256 0.6149 (multiplicity 8)
Se 0.0000 0.5000 0.0000 (multiplicity 4)

=====

3.
The following is a DFT calculation (PBE) of a relaxed TbDyCuPb crystal.

Summary:
DFT total energy   -4.558 eV/atom
Total magnetization   0.91 μB per cell
ΔH_f (0 K)   -0.299 eV/atom
V   25.00 A^3/atom
Density   9.83 g/cm3
DOS(E_F)   4.219 states/eV/f.u.

Unit cell a=7.3679 b=7.3679 c=7.3679 alpha=90.00 beta=90.00 gamma=90.00
Space group F-43m (No. 216)
Symmetry-distinct sites (fractional):
Tb 0.0000 0.0000 0.0000 (multiplicity 4)
Dy 0.0000 0.0000 0.5000 (multiplicity 4)
Cu 0.2500 0.2500 0.7500 (multiplicity 4)
Pb 0.2500 0.2500 0.2500 (multiplicity 4)

=====

4.
The following is a DFT calculation (PBE) of a relaxed DyTmCuPb crystal.

Summary:
DFT total energy   -4.500 eV/atom
Total magnetization   0.05 μB per cell
ΔH_f (0 K)   -0.281 eV/atom
V   24.39 A^3/atom
Density   10.25 g/cm3
DOS(E_F)   3.850 states/eV/f.u.

Unit cell a=7.3077 b=7.3077 c=7.3077 alpha=90.00 beta=90.00 gamma=90.00
Space group F-43m (No. 216)
Symmetry-distinct sites (fractional):
Dy 0.0000 0.0000 0.0000 (multiplicity 4)
Tm 0.0000 0.0000 0.5000 (multiplicity 4)
Cu 0.2500 0.2500 0.7500 (multiplicity 4)
Pb 0.2500 0.2500 0.2500 (multiplicity 4)